DFT (PBE-GGA) results for crystalline ZnCuSbPd at its relaxed geometry.

Calculated values
Calculated volume = 16.6 Å³/atom
Total energy = -3.663 eV/atom
Crystal system = cubic

The structure in CIF format:
```
data_ZnCuSbPd
_chemical_formula_sum 'Zn4 Cu4 Sb4 Pd4'
_space_group_name_H-M_alt 'F -4 3 m'
_space_group_IT_number 216
_space_group_name_Hall 'F -4 2 3'
_cell_length_a 6.430
_cell_length_b 6.430
_cell_length_c 6.430
_cell_angle_alpha 90.00
_cell_angle_beta 90.00
_cell_angle_gamma 90.00
loop_
_atom_site_label
_atom_site_type_symbol
_atom_site_fract_x
_atom_site_fract_y
_atom_site_fract_z
Zn1 Zn 0.000 0.000 0.000
Cu1 Cu 0.250 0.250 0.250
Sb1 Sb 0.000 0.000 0.500
Pd1 Pd 0.250 0.250 0.750
```